Record 1
Density functional theory data (PBE-GGA) for a geometry-optimized ZrSbPb2 structure.

abc: 3.3565 3.3565 9.6055
angles: 90.00 90.00 90.00
With the nearest neighbours (Å) after each atom.
Element x y z (fractional)
1 Zr 0.0000 0.0000 0.0000  8 Pb 3.25, 4 Zr 3.36
2 Sb 0.0000 0.0000 0.5000  4 Sb 3.36, 8 Pb 3.51
3 Pb 0.5000 0.5000 0.2311  4 Zr 3.25, 4 Pb 3.36, 4 Sb 3.51
4 Pb 0.5000 0.5000 0.7689  4 Zr 3.25, 4 Pb 3.36, 4 Sb 3.51

Output
Size of the total moment ... 0.000 μB/atom
Space group ... P4/mmm (123)



Record 2
Density functional theory data (PBE-GGA) for a geometry-optimized ZrSb2Pb structure.

abc: 6.4673 8.2996 3.8618
angles: 90.00 90.00 90.00
With the nearest neighbours (Å) after each atom.
Element x y z (fractional)
1 Zr 0.0000 0.0000 0.0000  2 Pb 3.23, 8 Sb 3.26
2 Zr 0.5000 0.5000 0.0000  2 Pb 3.23, 8 Sb 3.26
3 Sb 0.2500 0.2500 0.5000  2 Sb 3.23, 4 Zr 3.26, 4 Pb 3.26
4 Sb 0.2500 0.7500 0.5000  2 Sb 3.23, 4 Zr 3.26, 4 Pb 3.26
5 Sb 0.7500 0.2500 0.5000  2 Sb 3.23, 4 Zr 3.26, 4 Pb 3.26
6 Sb 0.7500 0.7500 0.5000  2 Sb 3.23, 4 Pb 3.26, 4 Zr 3.26
7 Pb 0.0000 0.5000 0.0000  2 Zr 3.23, 8 Sb 3.26
8 Pb 0.5000 0.0000 0.0000  2 Zr 3.23, 8 Sb 3.26

Output
Size of the total moment ... 0.000 μB/atom
Space group ... Cmmm (65)



Record 3
Density functional theory data (PBE-GGA) for a geometry-optimized ZrSbPb3 structure.

abc: 5.7652 5.7652 5.7652
angles: 90.00 90.00 90.00
With the nearest neighbours (Å) after each atom.
Element x y z (fractional)
1 Zr 0.0000 0.0000 0.0000  12 Pb 4.08
2 Sb 0.5000 0.5000 0.5000  6 Pb 2.88
3 Pb 0.0000 0.5000 0.5000  2 Sb 2.88
4 Pb 0.5000 0.0000 0.5000  2 Sb 2.88
5 Pb 0.5000 0.5000 0.0000  2 Sb 2.88

Output
Size of the total moment ... 0.390 μB/atom
Offset from the most stable computed form ... 499 meV per atom
Space group ... Pm-3m (221)



no.,ΔE_f (raw) (eV per atom)
1,0.153
2,-0.077
3,1.029